A | {
  "formula": "Lu2TiGa",
  "functional": "PBE",
  "state": "relaxed",
  "cell": [[1.634, 0.944, 10.452], [-1.634, 0.944, 10.452], [0.000, -1.887, 10.452]],
  "species": ["Lu", "Lu", "Ti", "Ga"],
  "fractional_positions": [[0.094, 0.094, 0.094], [0.906, 0.906, 0.906], [0.000, 0.000, 0.000], [0.500, 0.500, 0.500]],
  "m_tot_mub_per_fu": 2.17,
  "n_ef_per_ev_cell": 3.98
}

B | {
  "formula": "Lu2TiGa",
  "functional": "PBE",
  "state": "relaxed",
  "cell": [[4.540, 0.000, 0.000], [0.000, 4.540, 0.000], [0.000, 0.000, 4.273]],
  "species": ["Lu", "Lu", "Ti", "Ga"],
  "fractional_positions": [[0.000, 0.500, 0.000], [0.500, 0.000, 0.000], [0.000, 0.000, 0.500], [0.500, 0.500, 0.500]],
  "m_tot_mub_per_fu": 1.85,
  "n_ef_per_ev_cell": 4.06
}

Which structure is the most stable? The one labeled B.